First-principles (GGA+U) data for a relaxed Zn2CrIrO6 crystal, as listed in the Alexandria database.

Calculated values
As for the total moment: 1.10 μB/f.u. Its calculated total energy is -6.08 eV per atom. As for the space group: No. 14. The density of states at the Fermi level is 3.91 states/eV/f.u.

Cell lengths 5.2293, 5.2172, 9.2271 Å; angles 90.00, 124.06, 90.00 degrees
With the nearest neighbours (Å) after each atom.
Sites, in units of the cell vectors:
Zn1 0.2364 0.0290 0.2488  4 O 2.02-2.07
Zn2 0.2364 0.4710 0.7488  4 O 2.02-2.07
Zn3 0.7636 0.5290 0.2512  4 O 2.02-2.07
Zn4 0.7636 0.9710 0.7512  4 O 2.02-2.07
Cr1 0.0000 0.0000 0.5000  6 O 2.00-2.07
Cr2 0.0000 0.5000 0.0000  6 O 2.00-2.07
Ir1 0.5000 0.0000 0.0000  6 O 1.97-2.04
Ir2 0.5000 0.5000 0.5000  6 O 1.97-2.04
O1 0.1379 0.0880 0.7528  1 Ir 2.04, 2 Zn 2.04-2.07, 1 Cr 2.07
O2 0.1379 0.4120 0.2528  1 Ir 2.04, 2 Zn 2.04-2.07, 1 Cr 2.07
O3 0.2358 0.6723 0.5607  1 Ir 1.97, 1 Cr 2.00, 1 Zn 2.03
O4 0.2358 0.8277 0.0607  1 Ir 1.97, 1 Cr 2.00, 1 Zn 2.03
O5 0.3960 0.1752 0.5663  1 Ir 1.98, 1 Zn 2.02, 1 Cr 2.02
O6 0.3960 0.3248 0.0663  1 Ir 1.98, 1 Zn 2.02, 1 Cr 2.02
O7 0.6040 0.6752 0.9337  1 Ir 1.98, 1 Zn 2.02, 1 Cr 2.02
O8 0.6040 0.8248 0.4337  1 Ir 1.98, 1 Zn 2.02, 1 Cr 2.02
O9 0.7642 0.1723 0.9393  1 Ir 1.97, 1 Cr 2.00, 1 Zn 2.03
O10 0.7642 0.3277 0.4393  1 Ir 1.97, 1 Cr 2.00, 1 Zn 2.03
O11 0.8621 0.5880 0.7472  1 Ir 2.04, 2 Zn 2.04-2.07, 1 Cr 2.07
O12 0.8621 0.9120 0.2472  1 Ir 2.04, 2 Zn 2.04-2.07, 1 Cr 2.07